Record 1
VASP calculation (GGA-PBE) on K2LiZn3Sb4 after structural relaxation.

Calculated values
The energy comes out at -2.77 eV/atom. The formation energy (no corrections) is -0.323 eV/atom. As for the density of states at the Fermi level: 2.464 states/eV/f.u.

Lattice parameters (Å, degrees): 4.814 4.814 11.383 90.00 90.00 90.00
Space group P-4m2 (No. 115)
Symmetry-distinct sites (fractional):
K: 0.000 0.500 0.242
Li: 0.500 0.500 0.000
Zn: 0.000 0.000 0.000
Zn: 0.000 0.500 0.638
Sb: 0.000 0.000 0.500
Sb: 0.000 0.500 0.871
Sb: 0.500 0.500 0.500


Record 2
VASP calculation (GGA-PBE) on Tm5InAu2 after structural relaxation.

Calculated values
The energy comes out at -4.54 eV/atom. For the energy of formation from the pure elements, the calculation gives -0.582 eV/atom. As for the density of states at the Fermi level: 11.040 states/eV/f.u.

Lattice parameters (Å, degrees): 7.958 7.958 13.049 90.00 90.00 90.00
Space group I4/mcm (No. 140)
Symmetry-distinct sites (fractional):
Tm: 0.000 0.000 0.000
Tm: 0.157 0.343 0.144
In: 0.000 0.000 0.250
Au: 0.137 0.363 0.500


Record 3
VASP calculation (GGA-PBE) on LaNi2Mo after structural relaxation.

Calculated values
The energy comes out at -6.42 eV/atom. For the energy of formation from the pure elements, the calculation gives 0.409 eV/atom. As for the density of states at the Fermi level: 4.435 states/eV/f.u.

Lattice parameters (Å, degrees): 6.395 6.395 6.395 90.00 90.00 90.00
Space group F-43m (No. 216)
Symmetry-distinct sites (fractional):
La: 0.000 0.000 0.000
Ni: 0.000 0.000 0.500
Ni: 0.250 0.250 0.250
Mo: 0.250 0.250 0.750


Record 4
VASP calculation (GGA-PBE) on Sc4CuPt2Au after structural relaxation.

Calculated values
The energy comes out at -6.51 eV/atom. For the energy of formation from the pure elements, the calculation gives -0.909 eV/atom. As for the density of states at the Fermi level: 5.746 states/eV/f.u.

Lattice parameters (Å, degrees): 4.6806 4.6806 23.1745 90.00 90.00 120.00
Space group R-3m (No. 166, hexagonal axes)
Symmetry-distinct sites (fractional):
Sc: 0.0000 0.0000 0.1226
Sc: 0.0000 0.0000 0.3733
Cu: 0.0000 0.0000 0.0000
Pt: 0.0000 0.0000 0.2535
Au: 0.0000 0.0000 0.5000


Record 5
VASP calculation (GGA-PBE) on Gd2DyIn after structural relaxation.

Calculated values
The energy comes out at -9.17 eV/atom. For the energy of formation from the pure elements, the calculation gives -0.293 eV/atom. As for the density of states at the Fermi level: 3.229 states/eV/f.u.

Lattice parameters (Å, degrees): 4.843 4.843 4.909 90.00 90.00 90.00
Space group P4/mmm (No. 123)
Symmetry-distinct sites (fractional):
Gd: 0.000 0.500 0.000
Dy: 0.000 0.000 0.500
In: 0.500 0.500 0.500


Record 6
VASP calculation (GGA-PBE) on Ac10PmNd4 after structural relaxation.

Calculated values
The energy comes out at -3.74 eV/atom. For the energy of formation from the pure elements, the calculation gives 0.583 eV/atom. As for the density of states at the Fermi level: 23.823 states/eV/f.u.

Lattice parameters (Å, degrees): 13.170 13.170 8.308 90.00 90.00 90.00
Space group I4/m (No. 87)
Symmetry-distinct sites (fractional):
Ac: 0.000 0.500 0.250
Ac: 0.100 0.800 0.250
Pm: 0.000 0.000 0.000
Nd: 0.100 0.300 0.500


Record 7
VASP calculation (GGA-PBE) on Tm5Th2Ru4 after structural relaxation.

Calculated values
The energy comes out at -6.95 eV/atom. For the energy of formation from the pure elements, the calculation gives -0.198 eV/atom. As for the density of states at the Fermi level: 8.139 states/eV/f.u.

Lattice parameters (Å, degrees): 23.469 3.424 7.470 90.00 107.31 90.00
Space group C2/m (No. 12)
Symmetry-distinct sites (fractional):
Tm: 0.000 0.000 0.000
Tm: 0.143 0.500 0.047
Tm: 0.226 0.500 0.664
Th: 0.073 0.500 0.457
Ru: 0.041 0.500 0.763
Ru: 0.160 0.000 0.361


Record 8
VASP calculation (GGA-PBE) on ScTeMo after structural relaxation.

Calculated values
The energy comes out at -6.87 eV/atom. The formation energy (no corrections) is -0.104 eV/atom. As for the density of states at the Fermi level: 3.557 states/eV/f.u.

Lattice parameters (Å, degrees): 3.490 3.490 9.915 90.00 90.00 90.00
Space group I4mm (No. 107)
Symmetry-distinct sites (fractional):
Sc: 0.000 0.000 0.000
Te: 0.000 0.000 0.692
Mo: 0.000 0.000 0.323


Record 9
VASP calculation (GGA-PBE) on CsNaSb3 after structural relaxation.

Calculated values
The energy comes out at -1.82 eV/atom. The formation energy (no corrections) is 1.088 eV/atom. As for the density of states at the Fermi level: 6.630 states/eV/f.u.

Lattice parameters (Å, degrees): 6.292 6.292 6.292 90.00 90.00 90.00
Space group Pm-3m (No. 221)
Symmetry-distinct sites (fractional):
Cs: 0.000 0.000 0.000
Na: 0.500 0.500 0.500
Sb: 0.000 0.000 0.500


Record 10
VASP calculation (GGA-PBE) on Y4AlCu2Ag after structural relaxation.

Calculated values
The energy comes out at -5.37 eV/atom. For the energy of formation from the pure elements, the calculation gives -0.289 eV/atom. As for the density of states at the Fermi level: 6.478 states/eV/f.u.

Lattice parameters (Å, degrees): 5.0327 5.0327 24.8720 90.00 90.00 120.00
Space group R-3m (No. 166, hexagonal axes)
Symmetry-distinct sites (fractional):
Y: 0.0000 0.0000 0.1243
Y: 0.0000 0.0000 0.3752
Al: 0.0000 0.0000 0.5000
Cu: 0.0000 0.0000 0.2447
Ag: 0.0000 0.0000 0.0000


Record 11
VASP calculation (GGA-PBE) on Sc2ZnTe after structural relaxation.

Calculated values
The energy comes out at -4.80 eV/atom. The formation energy (no corrections) is -0.527 eV/atom. As for the density of states at the Fermi level: 3.063 states/eV/f.u.

Lattice parameters (Å, degrees): 3.862 4.377 10.083 90.00 90.00 90.00
Space group Imm2 (No. 44)
Symmetry-distinct sites (fractional):
Sc: 0.000 0.000 0.000
Sc: 0.000 0.500 0.243
Zn: 0.000 0.000 0.498
Te: 0.000 0.500 0.759


Record 12
VASP calculation (GGA-PBE) on NpCdRu2 after structural relaxation.

Calculated values
The energy comes out at -8.08 eV/atom. For the energy of formation from the pure elements, the calculation gives 0.027 eV/atom. As for the density of states at the Fermi level: 6.377 states/eV/f.u.

Lattice parameters (Å, degrees): 4.439 4.439 3.565 90.00 90.00 90.00
Space group P4/mmm (No. 123)
Symmetry-distinct sites (fractional):
Np: 0.000 0.000 0.000
Cd: 0.500 0.500 0.000
Ru: 0.000 0.500 0.500


Record 13
VASP calculation (GGA-PBE) on Ba2TlCdRh after structural relaxation.

Calculated values
The energy comes out at -3.13 eV/atom. For the energy of formation from the pure elements, the calculation gives -0.231 eV/atom. As for the density of states at the Fermi level: 3.113 states/eV/f.u.

Lattice parameters (Å, degrees): 6.011 6.011 5.312 90.00 90.00 90.00
Space group P4/mmm (No. 123)
Symmetry-distinct sites (fractional):
Ba: 0.000 0.500 0.000
Tl: 0.000 0.000 0.500
Cd: 0.500 0.500 0.500
Rh: 0.000 0.000 0.000


Record 14
VASP calculation (GGA-PBE) on Cr3Rh after structural relaxation.

Calculated values
The energy comes out at -8.95 eV/atom. For the energy of formation from the pure elements, the calculation gives 0.108 eV/atom. As for the density of states at the Fermi level: 4.889 states/eV/f.u.

Lattice parameters (Å, degrees): 5.937 5.937 5.937 90.00 90.00 90.00
Space group Fm-3m (No. 225)
Symmetry-distinct sites (fractional):
Cr: 0.000 0.000 0.000
Cr: 0.250 0.250 0.250
Rh: 0.000 0.000 0.500


Record 15
VASP calculation (GGA-PBE) on TbPr2HoS6 after structural relaxation.

Calculated values
The energy comes out at -6.39 eV/atom. The formation energy (no corrections) is -2.032 eV/atom. As for the density of states at the Fermi level: 0.000 states/eV/f.u.

Lattice parameters (Å, degrees): 7.0931 7.0931 18.6273 90.00 90.00 120.00
Space group R3 (No. 146, hexagonal axes)
Symmetry-distinct sites (fractional):
Tb: 0.0000 0.0000 0.0000
Pr: 0.0000 0.0000 0.2926
Pr: 0.0000 0.0000 0.7929
Ho: 0.0000 0.0000 0.4994
S: 0.0487 0.6916 0.5687
S: 0.0499 0.3604 0.0693


Record 16
VASP calculation (GGA-PBE) on CsZnAu2 after structural relaxation.

Calculated values
The energy comes out at -2.44 eV/atom. For the energy of formation from the pure elements, the calculation gives -0.273 eV/atom. As for the density of states at the Fermi level: 2.131 states/eV/f.u.

Lattice parameters (Å, degrees): 4.7055 4.7055 19.2731 90.00 90.00 120.00
Space group R-3m (No. 166, hexagonal axes)
Symmetry-distinct sites (fractional):
Cs: 0.0000 0.0000 0.0000
Zn: 0.0000 0.0000 0.5000
Au: 0.0000 0.0000 0.1830


Record 17
VASP calculation (GGA-PBE) on Sr2Sb3Pd2 after structural relaxation.

Calculated values
The energy comes out at -4.49 eV/atom. The formation energy (no corrections) is -0.758 eV/atom. As for the density of states at the Fermi level: 2.463 states/eV/f.u.

Lattice parameters (Å, degrees): 4.802 21.051 7.319 90.00 90.00 90.00
Space group Cmcm (No. 63)
Symmetry-distinct sites (fractional):
Sr: 0.000 0.040 0.250
Sr: 0.000 0.161 0.750
Sb: 0.000 0.220 0.250
Sb: 0.000 0.423 0.044
Pd: 0.000 0.296 0.550


Record 18
VASP calculation (GGA-PBE) on Pm3Si2O after structural relaxation.

Calculated values
The energy comes out at -6.18 eV/atom. The formation energy (no corrections) is -1.175 eV/atom. As for the density of states at the Fermi level: 4.889 states/eV/f.u.

Lattice parameters (Å, degrees): 3.924 4.677 16.038 90.00 90.00 90.00
Space group Immm (No. 71)
Symmetry-distinct sites (fractional):
Pm: 0.000 0.000 0.000
Pm: 0.000 0.500 0.157
Si: 0.000 0.500 0.349
O: 0.000 0.500 0.000


Record 19
VASP calculation (GGA-PBE) on TaV2Ga after structural relaxation.

Calculated values
The energy comes out at -8.43 eV/atom. For the energy of formation from the pure elements, the calculation gives -0.147 eV/atom. As for the density of states at the Fermi level: 2.460 states/eV/f.u.

Lattice parameters (Å, degrees): 4.211 4.211 3.364 90.00 90.00 90.00
Space group P4/mmm (No. 123)
Symmetry-distinct sites (fractional):
Ta: 0.000 0.000 0.000
V: 0.000 0.500 0.500
Ga: 0.500 0.500 0.000


Record 20
VASP calculation (GGA-PBE) on RbSr2NbIn after structural relaxation.

Calculated values
The energy comes out at -1.83 eV/atom. For the energy of formation from the pure elements, the calculation gives 1.602 eV/atom. As for the density of states at the Fermi level: 8.207 states/eV/f.u.

Lattice parameters (Å, degrees): 6.229 6.229 5.763 90.00 90.00 90.00
Space group P4/mmm (No. 123)
Symmetry-distinct sites (fractional):
Rb: 0.000 0.000 0.000
Sr: 0.000 0.500 0.000
Nb: 0.500 0.500 0.500
In: 0.000 0.000 0.500